# 1
The following is a DFT calculation (PBE) of an optimized crystal structure of LaGdLuMg.

## Properties
Its crystal system is cubic.

Geometry as extended XYZ:
```
4
Lattice="0.0000 3.9389 3.9389 3.9389 0.0000 3.9389 3.9389 3.9389 0.0000" Properties=species:S:1:pos:R:3 pbc="T T T"
La 0.0000 0.0000 0.0000
Gd 3.9389 3.9389 3.9389
Lu 1.9694 1.9694 1.9694
Mg 5.9083 5.9083 5.9083
```

***

# 2
The following is a DFT calculation (PBE) of an optimized crystal structure of Ca3Sn12Hg.

## Properties
Its crystal system is tetragonal.

Geometry as extended XYZ:
```
16
Lattice="4.7163 0.0000 0.0000 0.0000 4.7163 0.0000 0.0000 0.0000 19.4865" Properties=species:S:1:pos:R:3 pbc="T T T"
Ca 0.0000 0.0000 0.0000
Ca 0.0000 0.0000 4.7505
Ca 0.0000 0.0000 14.7360
Sn 0.0000 2.3581 2.4118
Sn 0.0000 2.3581 7.2867
Sn 0.0000 2.3581 12.1998
Sn 0.0000 2.3581 17.0747
Sn 2.3581 0.0000 2.4118
Sn 2.3581 0.0000 7.2867
Sn 2.3581 0.0000 12.1998
Sn 2.3581 0.0000 17.0747
Sn 2.3581 2.3581 0.0000
Sn 2.3581 2.3581 4.8896
Sn 2.3581 2.3581 9.7433
Sn 2.3581 2.3581 14.5969
Hg 0.0000 0.0000 9.7433
```

***

# 3
The following is a DFT calculation (PBE) of an optimized crystal structure of AlNiMo2.

## Properties
Its crystal system is orthorhombic.

Geometry as extended XYZ:
```
4
Lattice="3.4093 0.0000 0.0000 0.0000 3.9124 0.0000 0.0000 0.0000 4.2928" Properties=species:S:1:pos:R:3 pbc="T T T"
Al 0.0000 0.0000 0.0000
Ni 1.7046 1.9562 0.0000
Mo 0.0000 1.9562 2.1464
Mo 1.7046 0.0000 2.1464
```

***

no.,raw total energy (eV per atom),magnetization (μB per formula unit)
1,-6.28,7.5
2,-3.65,0.0
3,-7.96,0.0